Record 1
DFT (GGA-PBE) results for crystalline Re2TcIr at its relaxed geometry.

Properties
Relative energy among the computed polymorphs = 9.00 kcal/mol of atoms
Space group = P4/mmm (123)
Calculated volume = 15.11 A^3/atom
Calculated total energy = -10.74 eV per atom
Energy relative to the elements = 0.292 eV per atom

Cell lengths 3.289, 3.289, 5.588 Å; angles 90.00, 90.00, 90.00 degrees
Atoms (fractional coordinates):
Re: 0.000 0.000 0.235
Re: 0.000 0.000 0.765
Tc: 0.500 0.500 0.500
Ir: 0.500 0.500 0.000

---

Record 2
DFT (GGA-PBE) results for crystalline Re2TcIr at its relaxed geometry.

Properties
Relative energy among the computed polymorphs = 0.98 kcal/mol of atoms
Space group = C2/m (12)
Calculated volume = 14.73 A^3/atom
Calculated total energy = -11.09 eV per atom
Energy relative to the elements = -0.055 eV per atom

Cell lengths 4.782, 4.782, 4.766 Å; angles 99.43, 99.43, 33.27 degrees
Atoms (fractional coordinates):
Re: 0.250 0.250 0.248
Re: 0.750 0.750 0.752
Tc: 0.500 0.500 0.000
Ir: 0.000 0.000 0.500

---

Record 3
DFT (GGA-PBE) results for crystalline ReTcIr4 at its relaxed geometry.

Properties
Relative energy among the computed polymorphs = 9.50 kcal/mol of atoms
Space group = C2/m (12)
Calculated volume = 17.21 A^3/atom
Calculated total energy = -9.32 eV per atom
Energy relative to the elements = 0.391 eV per atom

Cell lengths 4.338, 4.338, 5.595 Å; angles 93.65, 93.65, 99.70 degrees
Atoms (fractional coordinates):
Re: 0.000 0.000 0.000
Tc: 0.500 0.500 0.500
Ir: 0.011 0.489 0.750
Ir: 0.489 0.011 0.750
Ir: 0.511 0.989 0.250
Ir: 0.989 0.511 0.250

---

Record 4
DFT (GGA-PBE) results for crystalline Re2Tc2Ir at its relaxed geometry.

Properties
Space group = P-1 (2)
Calculated volume = 16.92 A^3/atom
Calculated total energy = -10.56 eV per atom
Energy relative to the elements = 0.338 eV per atom

Cell lengths 2.736, 7.044, 8.959 Å; angles 82.76, 81.22, 89.95 degrees
Atoms (fractional coordinates):
Re: 0.052 0.367 0.397
Re: 0.420 0.297 0.658
Re: 0.580 0.703 0.342
Re: 0.948 0.633 0.603
Tc: 0.195 0.551 0.110
Tc: 0.336 0.772 0.825
Tc: 0.664 0.228 0.175
Tc: 0.805 0.449 0.890
Ir: 0.189 0.918 0.125
Ir: 0.811 0.082 0.875

---

Record 5
DFT (GGA-PBE) results for crystalline Re2TcIr at its relaxed geometry.

Properties
Relative energy among the computed polymorphs = 0.65 kcal/mol of atoms
Space group = Cmmm (65)
Calculated volume = 14.72 A^3/atom
Calculated total energy = -11.10 eV per atom
Energy relative to the elements = -0.069 eV per atom

Cell lengths 4.781, 4.781, 2.735 Å; angles 90.00, 90.00, 109.71 degrees
Atoms (fractional coordinates):
Re: 0.000 0.500 0.000
Re: 0.500 0.000 0.000
Tc: 0.000 0.000 0.500
Ir: 0.500 0.500 0.500

---

Record 6
DFT (GGA-PBE) results for crystalline Re2TcIr at its relaxed geometry.

Properties
Relative energy among the computed polymorphs = 1.36 kcal/mol of atoms
Space group = R3m (160)
Calculated volume = 14.76 A^3/atom
Calculated total energy = -11.07 eV per atom
Energy relative to the elements = -0.039 eV per atom

Cell lengths 9.116, 9.116, 9.116 Å; angles 17.39, 17.39, 17.39 degrees
Atoms (fractional coordinates):
Re: 0.000 0.000 0.000
Re: 0.249 0.249 0.249
Tc: 0.500 0.500 0.500
Ir: 0.750 0.750 0.750

---

Record 7
DFT (GGA-PBE) results for crystalline ReTcIr2 at its relaxed geometry.

Properties
Relative energy among the computed polymorphs = 12.65 kcal/mol of atoms
Space group = P4mm (99)
Calculated volume = 15.00 A^3/atom
Calculated total energy = -9.87 eV per atom
Energy relative to the elements = 0.263 eV per atom

Cell lengths 3.289, 3.289, 5.547 Å; angles 90.00, 90.00, 90.00 degrees
Atoms (fractional coordinates):
Re: 0.000 0.000 0.000
Tc: 0.500 0.500 0.266
Ir: 0.000 0.000 0.517
Ir: 0.500 0.500 0.753

---

Record 8
DFT (GGA-PBE) results for crystalline Re2TcIr at its relaxed geometry.

Properties
Relative energy among the computed polymorphs = 1.28 kcal/mol of atoms
Space group = P4/mmm (123)
Calculated volume = 14.73 A^3/atom
Calculated total energy = -11.07 eV per atom
Energy relative to the elements = -0.042 eV per atom

Cell lengths 2.743, 2.743, 7.834 Å; angles 90.00, 90.00, 90.00 degrees
Atoms (fractional coordinates):
Re: 0.000 0.000 0.248
Re: 0.000 0.000 0.752
Tc: 0.500 0.500 0.000
Ir: 0.500 0.500 0.500

---

Record 9
DFT (GGA-PBE) results for crystalline Re2Tc3Ir at its relaxed geometry.

Properties
Space group = C2/c (15)
Calculated volume = 14.69 A^3/atom
Calculated total energy = -10.84 eV per atom
Energy relative to the elements = -0.031 eV per atom

Cell lengths 4.761, 4.761, 9.130 Å; angles 110.37, 110.37, 70.29 degrees
Atoms (fractional coordinates):
Re: 0.042 0.291 0.085
Re: 0.291 0.042 0.585
Re: 0.709 0.958 0.415
Re: 0.958 0.709 0.915
Tc: 0.125 0.875 0.250
Tc: 0.209 0.459 0.419
Tc: 0.459 0.209 0.919
Tc: 0.541 0.791 0.081
Tc: 0.791 0.541 0.581
Tc: 0.875 0.125 0.750
Ir: 0.375 0.625 0.750
Ir: 0.625 0.375 0.250

---

Record 10
DFT (GGA-PBE) results for crystalline Re2Tc5Ir at its relaxed geometry.

Properties
Space group = Cm (8)
Calculated volume = 14.60 A^3/atom
Calculated total energy = -10.80 eV per atom
Energy relative to the elements = -0.105 eV per atom

Cell lengths 5.211, 5.211, 6.500 Å; angles 125.08, 125.08, 64.29 degrees
Atoms (fractional coordinates):
Re: 0.000 0.000 0.000
Re: 0.081 0.081 0.660
Tc: 0.001 0.496 0.497
Tc: 0.079 0.582 0.160
Tc: 0.496 0.001 0.497
Tc: 0.580 0.580 0.662
Tc: 0.582 0.079 0.160
Ir: 0.498 0.498 0.997

---

Record 11
DFT (GGA-PBE) results for crystalline ReTcIr2 at its relaxed geometry.

Properties
Relative energy among the computed polymorphs = 5.40 kcal/mol of atoms
Space group = R3m (160)
Calculated volume = 14.65 A^3/atom
Calculated total energy = -10.19 eV per atom
Energy relative to the elements = -0.052 eV per atom

Cell lengths 9.105, 9.105, 9.105 Å; angles 17.35, 17.35, 17.35 degrees
Atoms (fractional coordinates):
Re: 0.000 0.000 0.000
Tc: 0.751 0.751 0.751
Ir: 0.252 0.252 0.252
Ir: 0.499 0.499 0.499

---

Record 12
DFT (GGA-PBE) results for crystalline VRe2TcIr at its relaxed geometry.

Properties
Space group = P4/mmm (123)
Calculated volume = 20.29 A^3/atom
Calculated total energy = -8.47 eV per atom
Energy relative to the elements = 2.177 eV per atom

Cell lengths 4.679, 4.679, 4.634 Å; angles 90.00, 90.00, 90.00 degrees
Atoms (fractional coordinates):
V: 0.000 0.000 0.000
Re: 0.000 0.500 0.500
Re: 0.500 0.000 0.500
Tc: 0.500 0.500 0.000
Ir: 0.500 0.500 0.500

---

Record 13
DFT (GGA-PBE) results for crystalline ReTeIr2 at its relaxed geometry.

Properties
Space group = P4/mmm (123)
Calculated volume = 17.06 A^3/atom
Calculated total energy = -8.04 eV per atom
Energy relative to the elements, uncorrected = 288 meV/atom

Cell lengths 2.887, 2.887, 8.188 Å; angles 90.00, 90.00, 90.00 degrees
Atoms (fractional coordinates):
Re: 0.000 0.000 0.000
Te: 0.000 0.000 0.500
Ir: 0.500 0.500 0.215
Ir: 0.500 0.500 0.785

---

Record 14
DFT (GGA-PBE) results for crystalline ReTeIr at its relaxed geometry.

Properties
Relative energy among the computed polymorphs = 0.00 kcal/mol of atoms
Space group = F-43m (216)
Calculated volume = 19.75 A^3/atom
Calculated total energy = -7.62 eV per atom
Energy relative to the elements, uncorrected = 530 meV/atom

Cell lengths 4.376, 4.376, 4.376 Å; angles 60.00, 60.00, 60.00 degrees
Atoms (fractional coordinates):
Re: 0.000 0.000 0.000
Te: 0.250 0.250 0.250
Ir: 0.750 0.750 0.750

---

Record 15
DFT (GGA-PBE) results for crystalline Re2TeIr at its relaxed geometry.

Properties
Space group = P2/m (10)
Calculated volume = 16.91 A^3/atom
Calculated total energy = -8.58 eV per atom
Energy relative to the elements, uncorrected = 647 meV/atom

Cell lengths 2.900, 4.158, 5.752 Å; angles 90.00, 102.85, 90.00 degrees
Atoms (fractional coordinates):
Re: 0.104 0.000 0.219
Re: 0.896 0.000 0.781
Te: 0.500 0.500 0.500
Ir: 0.500 0.500 0.000

---

Record 16
DFT (GGA-PBE) results for crystalline ReTeIr at its relaxed geometry.

Properties
Relative energy among the computed polymorphs = 2.28 kcal/mol of atoms
Space group = P3m1 (156)
Calculated volume = 17.49 A^3/atom
Calculated total energy = -7.52 eV per atom
Energy relative to the elements, uncorrected = 629 meV/atom

Cell lengths 3.063, 3.063, 6.456 Å; angles 90.00, 90.00, 120.00 degrees
Atoms (fractional coordinates):
Re: 0.000 0.000 0.000
Te: 0.667 0.333 0.332
Ir: 0.333 0.667 0.690

---

Record 17
DFT (GGA-PBE) results for crystalline Re2TeIr at its relaxed geometry.

Properties
Space group = Pmm2 (25)
Calculated volume = 16.87 A^3/atom
Calculated total energy = -8.66 eV per atom
Energy relative to the elements, uncorrected = 563 meV/atom

Cell lengths 2.964, 3.812, 5.973 Å; angles 90.00, 90.00, 90.00 degrees
Atoms (fractional coordinates):
Re: 0.000 0.000 0.000
Re: 0.500 0.500 0.201
Te: 0.000 0.000 0.497
Ir: 0.500 0.500 0.758

---

Record 18
DFT (GGA-PBE) results for crystalline ReTeIr2 at its relaxed geometry.

Properties
Space group = R-3m (166)
Calculated volume = 16.91 A^3/atom
Calculated total energy = -7.91 eV per atom
Energy relative to the elements, uncorrected = 419 meV/atom

Cell lengths 9.432, 9.432, 9.432 Å; angles 17.69, 17.69, 17.69 degrees
Atoms (fractional coordinates):
Re: 0.000 0.000 0.000
Te: 0.500 0.500 0.500
Ir: 0.258 0.258 0.258
Ir: 0.742 0.742 0.742

---

Record 19
DFT (GGA-PBE) results for crystalline ReTeIr2 at its relaxed geometry.

Properties
Space group = P4/mmm (123)
Calculated volume = 16.14 A^3/atom
Calculated total energy = -7.75 eV per atom
Energy relative to the elements, uncorrected = 574 meV/atom

Cell lengths 3.979, 3.979, 4.077 Å; angles 90.00, 90.00, 90.00 degrees
Atoms (fractional coordinates):
Re: 0.000 0.000 0.000
Te: 0.500 0.500 0.000
Ir: 0.000 0.500 0.500
Ir: 0.500 0.000 0.500

---

Record 20
DFT (GGA-PBE) results for crystalline Re2TeIr at its relaxed geometry.

Properties
Space group = Imm2 (44)
Calculated volume = 16.36 A^3/atom
Calculated total energy = -8.56 eV per atom
Energy relative to the elements, uncorrected = 669 meV/atom

Cell lengths 5.411, 5.411, 5.411 Å; angles 147.35, 129.38, 61.55 degrees
Atoms (fractional coordinates):
Re: 0.000 0.000 0.000
Re: 0.749 0.249 0.500
Te: 0.511 0.511 0.000
Ir: 0.276 0.776 0.500

---

Record 21
DFT (GGA-PBE) results for crystalline ReTeIr2 at its relaxed geometry.

Properties
Space group = P4/mmm (123)
Calculated volume = 16.77 A^3/atom
Calculated total energy = -7.70 eV per atom
Energy relative to the elements, uncorrected = 631 meV/atom

Cell lengths 4.857, 4.857, 2.842 Å; angles 90.00, 90.00, 90.00 degrees
Atoms (fractional coordinates):
Re: 0.000 0.000 0.000
Te: 0.500 0.500 0.000
Ir: 0.000 0.500 0.500
Ir: 0.500 0.000 0.500

---

Record 22
DFT (GGA-PBE) results for crystalline ReTeIr3 at its relaxed geometry.

Properties
Relative energy among the computed polymorphs = 20.58 kcal/mol of atoms
Space group = Pm-3m (221)
Calculated volume = 21.42 A^3/atom
Calculated total energy = -5.98 eV per atom
Energy relative to the elements, uncorrected = 2459 meV/atom

Cell lengths 4.749, 4.749, 4.749 Å; angles 90.00, 90.00, 90.00 degrees
Atoms (fractional coordinates):
Re: 0.000 0.000 0.000
Te: 0.500 0.500 0.500
Ir: 0.000 0.500 0.500
Ir: 0.500 0.000 0.500
Ir: 0.500 0.500 0.000

---

Record 23
DFT (GGA-PBE) results for crystalline ReTeIr2 at its relaxed geometry.

Properties
Space group = Cm (8)
Calculated volume = 16.71 A^3/atom
Calculated total energy = -7.88 eV per atom
Energy relative to the elements, uncorrected = 452 meV/atom

Cell lengths 4.763, 4.763, 5.141 Å; angles 100.98, 100.98, 35.82 degrees
Atoms (fractional coordinates):
Re: 0.000 0.000 0.000
Te: 0.252 0.252 0.695
Ir: 0.497 0.497 0.436
Ir: 0.744 0.744 0.192

---

Record 24
DFT (GGA-PBE) results for crystalline ReTeIr2 at its relaxed geometry.

Properties
Space group = Imm2 (44)
Calculated volume = 17.89 A^3/atom
Calculated total energy = -7.83 eV per atom
Energy relative to the elements, uncorrected = 500 meV/atom

Cell lengths 6.285, 6.285, 6.285 Å; angles 153.80, 139.05, 49.27 degrees
Atoms (fractional coordinates):
Re: 0.000 0.000 0.000
Te: 0.771 0.271 0.500
Ir: 0.187 0.687 0.500
Ir: 0.429 0.429 0.000

---

Record 25
DFT (GGA-PBE) results for crystalline Re2TeIr at its relaxed geometry.

Properties
Space group = Cm (8)
Calculated volume = 16.58 A^3/atom
Calculated total energy = -8.67 eV per atom
Energy relative to the elements, uncorrected = 551 meV/atom

Cell lengths 4.966, 4.966, 4.752 Å; angles 95.18, 95.18, 34.66 degrees
Atoms (fractional coordinates):
Re: 0.000 0.000 0.000
Re: 0.728 0.728 0.212
Te: 0.495 0.495 0.497
Ir: 0.265 0.265 0.759

---

Record 26
DFT (GGA-PBE) results for crystalline ReTe4Ir at its relaxed geometry.

Properties
Space group = F-43m (216)
Calculated volume = 25.74 A^3/atom
Calculated total energy = -3.77 eV per atom
Energy relative to the elements, uncorrected = 1879 meV/atom

Cell lengths 6.022, 6.022, 6.022 Å; angles 60.00, 60.00, 60.00 degrees
Atoms (fractional coordinates):
Re: 0.000 0.000 0.000
Te: 0.126 0.625 0.625
Te: 0.625 0.126 0.625
Te: 0.625 0.625 0.126
Te: 0.625 0.625 0.625
Ir: 0.250 0.250 0.250

---

Record 27
DFT (GGA-PBE) results for crystalline ReTeIr at its relaxed geometry.

Properties
Relative energy among the computed polymorphs = 6.59 kcal/mol of atoms
Space group = P3m1 (156)
Calculated volume = 17.47 A^3/atom
Calculated total energy = -7.33 eV per atom
Energy relative to the elements, uncorrected = 815 meV/atom

Cell lengths 4.386, 4.386, 3.146 Å; angles 90.00, 90.00, 120.00 degrees
Atoms (fractional coordinates):
Re: 0.000 0.000 0.000
Te: 0.333 0.667 0.203
Ir: 0.667 0.333 0.534

---

Record 28
DFT (GGA-PBE) results for crystalline Re2TeIr at its relaxed geometry.

Properties
Space group = Pm (6)
Calculated volume = 16.62 A^3/atom
Calculated total energy = -8.64 eV per atom
Energy relative to the elements, uncorrected = 585 meV/atom

Cell lengths 2.921, 4.157, 5.663 Å; angles 90.00, 104.77, 90.00 degrees
Atoms (fractional coordinates):
Re: 0.000 0.000 0.000
Re: 0.395 0.500 0.788
Te: 0.158 0.500 0.307
Ir: 0.762 0.000 0.522

---

Record 29
DFT (GGA-PBE) results for crystalline ReTeIr at its relaxed geometry.

Properties
Relative energy among the computed polymorphs = 1.07 kcal/mol of atoms
Space group = I4mm (107)
Calculated volume = 18.15 A^3/atom
Calculated total energy = -7.57 eV per atom
Energy relative to the elements, uncorrected = 576 meV/atom

Cell lengths 6.481, 6.481, 6.481 Å; angles 153.41, 153.41, 37.96 degrees
Atoms (fractional coordinates):
Re: 0.000 0.000 0.000
Te: 0.331 0.331 0.000
Ir: 0.630 0.630 0.000

---

The DOS(E_F) results, record by record, are as follows: 0.98 0.97 0.80 0.98 0.95 0.65 1.41 1.02 0.92 0.92 1.08 1.75 0.76 1.34 1.01 0.94 1.01 0.79 1.00 0.67 0.91 1.61 0.79 0.49 0.86 1.12 1.43 0.82 0.90 states/eV/atom.